Entry from the Alexandria database: a geometry-optimized La2Pm7Y4 structure (PBE).

a = 8.1533 Å, b = 11.5074 Å, c = 10.9263 Å
α = 71.58°, β = 121.32°, γ = 148.14°
Atoms (fractional coordinates):
Y1 0.5377 0.3072 0.3847
Y2 0.6159 0.9237 0.1558
Y3 0.4623 0.6928 0.6153
Y4 0.3841 0.0763 0.8442
Pm1 0.8478 0.7698 0.4637
Pm2 0.0000 0.0000 0.0000
Pm3 0.0754 0.6149 0.7673
Pm4 0.2322 0.8456 0.3103
Pm5 0.7678 0.1544 0.6897
Pm6 0.9246 0.3851 0.2327
Pm7 0.1522 0.2302 0.5363
La1 0.3099 0.4622 0.0765
La2 0.6901 0.5378 0.9235

Properties
The value obtained for the formation energy is 0.016 eV/atom. Its space group is No. 2. The total energy comes out at -5.29 eV/atom.



Entry from the Alexandria database: a geometry-optimized LaPmYZn structure (PBE).

a = 3.6504 Å, b = 3.6504 Å, c = 8.8588 Å
α = 90.00°, β = 90.00°, γ = 90.00°
Atoms (fractional coordinates):
Pm1 0.5000 0.5000 0.7737
La1 0.0000 0.0000 0.0756
Zn1 0.0000 0.0000 0.5632
Y1 0.5000 0.5000 0.3722

Properties
The value obtained for the formation energy is -0.154 eV/atom. Its space group is No. 99. Its energy above the most stable polymorph in this dataset is 0.000 eV per atom. The total energy comes out at -4.51 eV/atom.



Entry from the Alexandria database: a geometry-optimized LaPmYZn structure (PBE).

a = 5.4871 Å, b = 5.4871 Å, c = 5.4871 Å
α = 60.00°, β = 60.00°, γ = 60.00°
Atoms (fractional coordinates):
Y1 0.7500 0.7500 0.7500
La1 0.2500 0.2500 0.2500
Pm1 0.5000 0.5000 0.5000
Zn1 0.0000 0.0000 0.0000

Properties
The value obtained for the formation energy is 0.063 eV/atom. Its space group is No. 216. Its energy above the most stable polymorph in this dataset is 0.218 eV per atom. The total energy comes out at -4.29 eV/atom.



Entry from the Alexandria database: a geometry-optimized LaPmYZr structure (PBE).

a = 5.5685 Å, b = 5.5685 Å, c = 5.5685 Å
α = 60.00°, β = 60.00°, γ = 60.00°
Atoms (fractional coordinates):
Zr1 0.2500 0.2500 0.2500
La1 0.0000 0.0000 0.0000
Pm1 0.5000 0.5000 0.5000
Y1 0.7500 0.7500 0.7500

Properties
The value obtained for the formation energy is 0.206 eV/atom. Its space group is No. 216. The total energy comes out at -5.97 eV/atom.